Entry 1:
Below is Cs2K3Zn2Au4 after structural relaxation, with properties calculated at the PBE level.

Cell lengths 5.351, 5.351, 28.101 Å; angles 90.00, 90.00, 90.00 degrees
Space group I4/mmm (No. 139)
Symmetry-distinct sites (fractional):
Cs 0.000 0.000 0.177
K 0.000 0.000 0.364
K 0.000 0.000 0.500
Zn 0.000 0.000 0.052
Au 0.000 0.500 0.073

N(E_F): 4.6 states/eV/f.u.
E_tot: -2.015 eV per atom

Entry 2:
Below is NaCo2Se2 after structural relaxation, with properties calculated at the PBE level.

Cell lengths 4.520, 4.520, 8.310 Å; angles 90.00, 90.00, 90.00 degrees
Space group I4/mmm (No. 139)
Symmetry-distinct sites (fractional):
Na 0.000 0.000 0.000
Co 0.000 0.000 0.355
Se 0.000 0.500 0.250

ΔE to the lowest computed polymorph: 0.294 eV/atom
N(E_F): 3.1 states/eV/f.u.
E_tot: -4.613 eV per atom

Entry 3:
Below is TlVAgCl5 after structural relaxation, with properties calculated at the PBE level.

Cell lengths 8.127, 12.109, 9.202 Å; angles 90.00, 107.63, 90.00 degrees
Space group C2/c (No. 15)
Symmetry-distinct sites (fractional):
Tl 0.000 0.158 0.250
V 0.000 0.500 0.000
Ag 0.000 0.179 0.750
Cl 0.000 0.438 0.250
Cl 0.096 0.317 0.579
Cl 0.205 0.054 0.954

N(E_F): 6.3 states/eV/f.u.
E_tot: -3.909 eV per atom

Entry 4:
Below is NdScSe2 after structural relaxation, with properties calculated at the PBE level.

Cell lengths 4.0032, 4.0032, 20.3536 Å; angles 90.00, 90.00, 120.00 degrees
Space group R-3m (No. 166, hexagonal axes)
Symmetry-distinct sites (fractional):
Nd 0.0000 0.0000 0.0000
Sc 0.0000 0.0000 0.5000
Se 0.0000 0.0000 0.2401

ΔE to the lowest computed polymorph: 0.010 eV/atom
N(E_F): 2.1 states/eV/f.u.
E_tot: -6.221 eV per atom